(1)
The following is a PBE+U calculation of crystalline CeNiPtO6 at its relaxed geometry, from Alexandria.

Structure (POSCAR):
```
CeNiPtO6
1.0
4.8533 0.0000 0.0000
0.0000 4.8533 0.0000
0.0000 0.0000 9.7141
Ce Ni Pt O
2 2 2 12
direct
0.0000 0.0000 0.0000 Ce
0.5000 0.5000 0.5000 Ce
0.0000 0.0000 0.6656 Ni
0.5000 0.5000 0.1656 Ni
0.0000 0.0000 0.3294 Pt
0.5000 0.5000 0.8294 Pt
0.1793 0.1793 0.4901 O
0.1999 0.1999 0.1794 O
0.2137 0.2137 0.8242 O
0.2863 0.7137 0.3242 O
0.3001 0.6999 0.6794 O
0.3207 0.6793 0.9901 O
0.6793 0.3207 0.9901 O
0.6999 0.3001 0.6794 O
0.7137 0.2863 0.3242 O
0.7863 0.7863 0.8242 O
0.8001 0.8001 0.1794 O
0.8207 0.8207 0.4901 O
```

SG: P4_2nm, No. 102
Calculated total energy, eV/atom: -6.285



(2)
The following is a PBE+U calculation of crystalline CeNi3Se4O12 at its relaxed geometry, from Alexandria.

Structure (POSCAR):
```
CeNi3Se4O12
1.0
5.3229 3.0732 2.6201
-5.3229 3.0732 2.6201
0.0000 -6.1464 2.6201
Ce Ni Se O
1 3 4 12
direct
0.0000 0.0000 0.0000 Ce
0.0000 0.5800 0.4200 Ni
0.4200 0.0000 0.5800 Ni
0.5800 0.4200 0.0000 Ni
0.1089 0.5000 0.8911 Se
0.5000 0.5000 0.5000 Se
0.5000 0.8911 0.1089 Se
0.8911 0.1089 0.5000 Se
0.0016 0.2486 0.3179 O
0.0528 0.9472 0.5000 O
0.2486 0.3179 0.0016 O
0.3179 0.0016 0.2486 O
0.3249 0.6751 0.5000 O
0.5000 0.0528 0.9472 O
0.5000 0.3249 0.6751 O
0.6751 0.5000 0.3249 O
0.6821 0.7514 0.9984 O
0.7514 0.9984 0.6821 O
0.9472 0.5000 0.0528 O
0.9984 0.6821 0.7514 O
```

SG: R32, No. 155
Calculated total energy, eV/atom: -5.300



(3)
The following is a PBE+U calculation of crystalline Sr2CeNiO6 at its relaxed geometry, from Alexandria.

Structure (POSCAR):
```
Sr2CeNiO6
1.0
0.0000 4.0651 4.0651
4.0651 0.0000 4.0651
4.0651 4.0651 0.0000
Sr Ce Ni O
2 1 1 6
direct
0.2500 0.2500 0.2500 Sr
0.7500 0.7500 0.7500 Sr
0.0000 0.0000 0.0000 Ce
0.5000 0.5000 0.5000 Ni
0.2683 0.2683 0.7317 O
0.2683 0.7317 0.2683 O
0.2683 0.7317 0.7317 O
0.7317 0.2683 0.2683 O
0.7317 0.2683 0.7317 O
0.7317 0.7317 0.2683 O
```

SG: Fm-3m, No. 225
Calculated total energy, eV/atom: -6.459



(4)
The following is a PBE+U calculation of crystalline Sr2CeNiO5 at its relaxed geometry, from Alexandria.

Structure (POSCAR):
```
Sr2CeNiO5
1.0
6.3824 0.0000 0.0000
0.0000 6.3824 0.0000
0.0000 0.0000 5.9618
Sr Ce Ni O
4 2 2 10
direct
0.1640 0.3360 0.0000 Sr
0.3360 0.8360 0.0000 Sr
0.6640 0.1640 0.0000 Sr
0.8360 0.6640 0.0000 Sr
0.0000 0.0000 0.5000 Ce
0.5000 0.5000 0.5000 Ce
0.0000 0.5000 0.5000 Ni
0.5000 0.0000 0.5000 Ni
0.0000 0.0000 0.0000 O
0.1550 0.6550 0.2968 O
0.1550 0.6550 0.7032 O
0.3450 0.1550 0.2968 O
0.3450 0.1550 0.7032 O
0.5000 0.5000 0.0000 O
0.6550 0.8450 0.2968 O
0.6550 0.8450 0.7032 O
0.8450 0.3450 0.2968 O
0.8450 0.3450 0.7032 O
```

SG: P4/mbm, No. 127
Calculated total energy, eV/atom: -6.290



(5)
The following is a PBE+U calculation of crystalline CeUNiO6 at its relaxed geometry, from Alexandria.

Structure (POSCAR):
```
CeUNiO6
1.0
5.3416 0.0000 0.0000
-2.6708 4.6260 0.0000
0.0000 0.0000 10.0584
Ce U Ni O
2 2 2 12
direct
0.0000 0.0000 0.0000 Ce
0.0000 0.0000 0.5000 Ce
0.3333 0.6667 0.2500 U
0.6667 0.3333 0.7500 U
0.3333 0.6667 0.7500 Ni
0.6667 0.3333 0.2500 Ni
0.0015 0.3445 0.1359 O
0.0015 0.6570 0.3641 O
0.3430 0.3445 0.3641 O
0.3430 0.9985 0.1359 O
0.3445 0.0015 0.6359 O
0.3445 0.3430 0.8641 O
0.6555 0.6570 0.1359 O
0.6555 0.9985 0.3641 O
0.6570 0.0015 0.8641 O
0.6570 0.6555 0.6359 O
0.9985 0.3430 0.6359 O
0.9985 0.6555 0.8641 O
```

SG: P-31c, No. 163
Calculated total energy, eV/atom: -8.225